A plane-wave DFT calculation with PBE was carried out for a relaxed ZrTe2HI crystal.

Cell: 5.5951 5.5951 5.8974 Å, 90.00 90.00 90.00°
Fractional positions:
H 0.5000 0.5000 0.5000
Zr 0.0000 0.0000 0.0000
Te 0.0000 0.5000 0.0000
I 0.0000 0.0000 0.5000
Te 0.5000 0.0000 0.0000

Summary:
E, Ry/atom: -0.282
Crystal system: tetragonal
M_tot, μB/atom: 0.19
Calculated volume, Å³/atom: 36.9
Energy relative to the lowest polymorph listed for this composition, meV per atom: 0.0

---

A plane-wave DFT calculation with PBE was carried out for a relaxed HgP crystal.

Cell: 5.4824 5.4824 5.4824 Å, 90.00 90.00 90.00°
Fractional positions:
P 0.5000 0.5000 0.0000
Hg 0.5000 0.5000 0.5000
Hg 0.0000 0.5000 0.0000
Hg 0.0000 0.0000 0.5000
P 0.5000 0.0000 0.5000
Hg 0.5000 0.0000 0.0000
P 0.0000 0.5000 0.5000
P 0.0000 0.0000 0.0000

Summary:
E, Ry/atom: -0.174
Crystal system: cubic
M_tot, μB/atom: 0.00
Calculated volume, Å³/atom: 20.6
Energy relative to the lowest polymorph listed for this composition, meV per atom: 455.0

---

A plane-wave DFT calculation with PBE was carried out for a relaxed Y4FeCl5 crystal.

Cell: 3.7857 8.6191 8.8697 Å, 104.37 102.32 90.00°
Fractional positions:
Y 0.3558 0.9206 0.7117
Cl 0.1679 0.3217 0.3359
Cl 0.8265 0.1429 0.6530
Cl 0.8321 0.6783 0.6641
Cl 0.1735 0.8571 0.3470
Y 0.0007 0.2354 0.0013
Cl 0.5000 0.5000 0.0000
Y 0.6442 0.0794 0.2883
Y 0.9993 0.7646 0.9987
Fe 0.5000 0.0000 0.0000

Summary:
Uncorrected formation energy, eV per atom: -1.518
E, Ry/atom: -0.432
Crystal system: monoclinic
M_tot, μB/atom: 0.03
Calculated volume, Å³/atom: 27.3

---

A plane-wave DFT calculation with PBE was carried out for a relaxed RbSmSc4S8 crystal.

Cell: 7.8231 7.8231 8.1445 Å, 61.30 61.30 60.00°
Fractional positions:
S 0.7566 0.7566 0.7302
S 0.7508 0.2381 0.2602
S 0.2243 0.2243 0.3272
S 0.7508 0.7508 0.2602
Sc 0.6268 0.6268 0.1197
Sc 0.0036 0.0036 0.5083
S 0.2381 0.7508 0.2602
S 0.8034 0.2450 0.7066
Sc 0.4845 0.0036 0.5083
S 0.2450 0.8034 0.7066
S 0.2450 0.2450 0.7066
Sc 0.0036 0.4845 0.5083
Rb 0.3626 0.3626 0.9122
Sm 0.0049 0.0049 0.9852

Summary:
Uncorrected formation energy, eV per atom: -1.730
E, Ry/atom: -0.463
Crystal system: trigonal
M_tot, μB/atom: 0.00
Calculated volume, Å³/atom: 25.7

---

A plane-wave DFT calculation with PBE was carried out for a relaxed Li2MgAs crystal.

Cell: 4.5834 4.5834 4.5834 Å, 60.00 60.00 60.00°
Fractional positions:
As 0.5000 0.5000 0.5000
Li 0.2500 0.2500 0.2500
Li 0.7500 0.7500 0.7500
Mg 0.0000 0.0000 0.0000

Summary:
E, Ry/atom: -0.214
Crystal system: cubic
M_tot, μB/atom: 0.00
Calculated volume, Å³/atom: 17.0
Energy relative to the lowest polymorph listed for this composition, meV per atom: 142.8

---

A plane-wave DFT calculation with PBE was carried out for a relaxed MnMoSeBr2 crystal.

Cell: 5.2730 5.2730 4.8834 Å, 90.00 90.00 90.00°
Fractional positions:
Mn 0.5000 0.5000 0.5000
Br 0.0000 0.5000 0.0000
Mo 0.0000 0.0000 0.0000
Se 0.0000 0.0000 0.5000
Br 0.5000 0.0000 0.0000

Summary:
Uncorrected formation energy, eV per atom: 0.396
E, Ry/atom: -0.365
Crystal system: tetragonal
M_tot, μB/atom: 1.44
Calculated volume, Å³/atom: 27.2
Energy relative to the lowest polymorph listed for this composition, meV per atom: 0.0

---

A plane-wave DFT calculation with PBE was carried out for a relaxed Dy4PdI5 crystal.

Cell: 4.1407 8.9387 9.9704 Å, 102.16 101.98 90.00°
Fractional positions:
Dy 0.9989 0.7945 0.9978
I 0.1684 0.3429 0.3368
I 0.5000 0.5000 0.0000
I 0.1783 0.8311 0.3565
Pd 0.5000 0.0000 0.0000
Dy 0.6446 0.0744 0.2892
Dy 0.3554 0.9256 0.7108
Dy 0.0011 0.2055 0.0022
I 0.8316 0.6571 0.6632
I 0.8217 0.1689 0.6435

Summary:
Uncorrected formation energy, eV per atom: -1.102
E, Ry/atom: -0.311
Crystal system: monoclinic
M_tot, μB/atom: 0.00
Calculated volume, Å³/atom: 35.3

---

A plane-wave DFT calculation with PBE was carried out for a relaxed NdDyS2O crystal.

Cell: 3.9450 3.9450 14.0028 Å, 90.00 90.00 90.00°
Fractional positions:
S 0.0000 0.5000 0.7000
S 0.5000 0.0000 0.3000
O 0.0000 0.0000 0.5000
Dy 0.0000 0.5000 0.8784
Nd 0.5000 0.0000 0.5883
Nd 0.0000 0.5000 0.4117
S 0.0000 0.5000 0.0904
S 0.5000 0.0000 0.9096
Dy 0.5000 0.0000 0.1216
O 0.5000 0.5000 0.5000

Summary:
Uncorrected formation energy, eV per atom: -2.492
E, Ry/atom: -0.515
Crystal system: tetragonal
M_tot, μB/atom: 0.00
Calculated volume, Å³/atom: 21.8

---

A plane-wave DFT calculation with PBE was carried out for a relaxed Ho5Ge6 crystal.

Cell: 4.2154 3.9825 14.6887 Å, 97.79 90.00 90.00°
Fractional positions:
Ho 0.0000 0.3849 0.7699
Ge 0.5000 0.4578 0.9156
Ge 0.0000 0.7182 0.4364
Ge 0.5000 0.5422 0.0844
Ge 0.5000 0.8987 0.7974
Ge 0.5000 0.1013 0.2026
Ho 0.5000 0.8003 0.6005
Ho 0.0000 0.6151 0.2301
Ho 0.0000 0.0000 0.0000
Ho 0.5000 0.1997 0.3995
Ge 0.0000 0.2818 0.5636

Summary:
E, Ry/atom: -0.394
Crystal system: orthorhombic
M_tot, μB/atom: 0.00
Calculated volume, Å³/atom: 22.2

---

A plane-wave DFT calculation with PBE was carried out for a relaxed KTl11Pd5 crystal.

Cell: 6.7914 8.5441 8.5441 Å, 101.67 104.27 104.27°
Fractional positions:
K 0.0000 0.0000 0.0000
Tl 0.2749 0.8509 0.3603
Tl 0.4315 0.6869 0.6869
Tl 0.8966 0.8079 0.5593
Tl 0.7251 0.1491 0.6397
Tl 0.7251 0.6397 0.1491
Tl 0.1034 0.1921 0.4407
Pd 0.3163 0.6897 0.0493
Tl 0.5685 0.3131 0.3131
Tl 0.1034 0.4407 0.1921
Pd 0.6837 0.9507 0.3103
Tl 0.2749 0.3603 0.8509
Pd 0.3163 0.0493 0.6897
Pd 0.0000 0.5000 0.5000
Tl 0.5000 0.0000 0.0000
Tl 0.8966 0.5593 0.8079
Pd 0.6837 0.3103 0.9507

Summary:
E, Ry/atom: -0.236
Crystal system: monoclinic
M_tot, μB/atom: 0.00
Calculated volume, Å³/atom: 26.3

---

A plane-wave DFT calculation with PBE was carried out for a relaxed KCu4Cl crystal.

Cell: 5.2538 5.2538 5.2538 Å, 60.00 60.00 60.00°
Fractional positions:
Cu 0.3744 0.3744 0.3744
Cu 0.8768 0.3744 0.3744
Cu 0.3744 0.8768 0.3744
Cl 0.0000 0.0000 0.0000
K 0.7500 0.7500 0.7500
Cu 0.3744 0.3744 0.8768

Summary:
Uncorrected formation energy, eV per atom: 0.111
E, Ry/atom: -0.229
Crystal system: cubic
M_tot, μB/atom: 0.00
Calculated volume, Å³/atom: 17.1

---

A plane-wave DFT calculation with PBE was carried out for a relaxed PaSiH2 crystal.

Cell: 4.0429 4.0429 4.1598 Å, 60.93 60.93 60.00°
Fractional positions:
H 0.1782 0.1782 0.4654
H 0.8218 0.8218 0.5346
Pa 0.5000 0.5000 0.5000
Si 0.0000 0.0000 0.0000

Summary:
E, Ry/atom: -0.417
Crystal system: trigonal
M_tot, μB/atom: 0.00
Calculated volume, Å³/atom: 12.2

---

A plane-wave DFT calculation with PBE was carried out for a relaxed InSnCl3 crystal.

Cell: 10.0905 10.0905 10.0905 Å, 60.00 60.00 60.00°
Fractional positions:
In 0.1250 0.6250 0.1250
Cl 0.7194 0.7194 0.2806
Sn 0.6250 0.6250 0.1250
Cl 0.9694 0.9694 0.5306
Cl 0.2806 0.7194 0.7194
Cl 0.5306 0.9694 0.9694
Sn 0.1250 0.6250 0.6250
Cl 0.7194 0.2806 0.2806
Sn 0.6250 0.1250 0.6250
In 0.1250 0.1250 0.1250
Cl 0.5306 0.9694 0.5306
Cl 0.9694 0.5306 0.9694
In 0.6250 0.1250 0.1250
Sn 0.6250 0.6250 0.6250
Cl 0.5306 0.5306 0.9694
Cl 0.2806 0.2806 0.7194
Cl 0.7194 0.2806 0.7194
Cl 0.2806 0.7194 0.2806
In 0.1250 0.1250 0.6250
Cl 0.9694 0.5306 0.5306

Summary:
Uncorrected formation energy, eV per atom: -0.855
E, Ry/atom: -0.243
Crystal system: cubic
M_tot, μB/atom: 0.00
Calculated volume, Å³/atom: 36.3

---

A plane-wave DFT calculation with PBE was carried out for a relaxed BaNaAl2Tl crystal.

Cell: 6.0886 6.4754 6.0886 Å, 90.00 90.00 90.00°
Fractional positions:
Tl 0.5000 0.5000 0.5000
Al 0.0000 0.0000 0.5000
Na 0.0000 0.5000 0.0000
Ba 0.0000 0.0000 0.0000
Al 0.5000 0.0000 0.0000

Summary:
E, Ry/atom: -0.118
Crystal system: tetragonal
M_tot, μB/atom: 0.00
Calculated volume, Å³/atom: 48.0

---

A plane-wave DFT calculation with PBE was carried out for a relaxed HoMg2Zn2Au2 crystal.

Cell: 4.5445 4.5445 8.2055 Å, 73.92 73.92 60.00°
Fractional positions:
Zn 0.5945 0.5945 0.2165
Mg 0.8659 0.8659 0.4022
Au 0.2554 0.2554 0.2338
Au 0.7446 0.7446 0.7662
Zn 0.4055 0.4055 0.7835
Ho 0.0000 0.0000 0.0000
Mg 0.1341 0.1341 0.5978

Summary:
E, Ry/atom: -0.213
Crystal system: trigonal
M_tot, μB/atom: 0.00
Calculated volume, Å³/atom: 19.9

---

A plane-wave DFT calculation with PBE was carried out for a relaxed Ba3Na2PuO8 crystal.

Cell: 6.0588 6.0588 8.0971 Å, 90.00 90.00 120.00°
Fractional positions:
O 0.1545 0.8455 0.3532
O 0.3333 0.6667 0.9357
Pu 0.0000 0.0000 0.5000
O 0.6667 0.3333 0.0643
O 0.8455 0.1545 0.6468
O 0.1545 0.3090 0.3532
Na 0.6667 0.3333 0.8004
Ba 0.0000 0.0000 0.0000
Ba 0.6667 0.3333 0.3667
O 0.8455 0.6910 0.6468
O 0.3090 0.1545 0.6468
O 0.6910 0.8455 0.3532
Na 0.3333 0.6667 0.1996
Ba 0.3333 0.6667 0.6333

Summary:
Uncorrected formation energy, eV per atom: -2.163
E, Ry/atom: -0.487
Crystal system: trigonal
M_tot, μB/atom: 0.14
Calculated volume, Å³/atom: 18.4